Below is a geometry-optimized NaH3Au structure, with properties calculated at the PBE level.

Results
Crystal system ... triclinic
Total energy ... -3.058 eV per atom
Polymorph energy (0 for the lowest one) ... 5.1 kJ/mol of formula units
M_tot ... 0.0 μB per formula unit

a b c (Å): 5.273 6.462 5.086
angles (deg): 105.40 64.92 103.89
Element x y z (fractional)
H: 0.337 0.158 0.381
H: 0.297 0.633 0.057
H: 0.736 0.372 0.750
H: 0.894 0.059 0.935
H: 0.557 0.761 0.464
H: 0.237 0.575 0.940
Au: 0.727 0.916 0.207
Au: 0.030 0.256 0.568
Na: 0.372 0.037 0.868
Na: 0.730 0.438 0.286

---

Below is a geometry-optimized NaH3Au structure, with properties calculated at the PBE level.

Results
Crystal system ... tetragonal
Total energy ... -2.884 eV per atom
Polymorph energy (0 for the lowest one) ... 88.9 kJ/mol of formula units
M_tot ... 0.0 μB per formula unit

a b c (Å): 3.905 3.905 8.660
angles (deg): 76.97 76.97 90.00
Element x y z (fractional)
Na: 0.000 0.000 0.000
Na: 0.250 0.750 0.500
Au: 0.660 0.160 0.679
Au: 0.840 0.340 0.321
H: 0.314 0.913 0.175
H: 0.087 0.686 0.825
H: 0.087 0.489 0.825
H: 0.511 0.913 0.175
H: 0.338 0.338 0.324
H: 0.662 0.662 0.676

---

Below is a geometry-optimized NaHAu3 structure, with properties calculated at the PBE level.

Results
Crystal system ... cubic
Total energy ... -2.847 eV per atom
Polymorph energy (0 for the lowest one) ... 0.0 kJ/mol of formula units
M_tot ... 0.0 μB per formula unit

a b c (Å): 4.279 4.279 4.279
angles (deg): 90.00 90.00 90.00
Element x y z (fractional)
Na: 0.500 0.500 0.500
Au: 0.000 0.500 0.000
Au: 0.000 0.000 0.500
Au: 0.500 0.000 0.000
H: 0.000 0.000 0.000

---

Below is a geometry-optimized Na2HAu structure, with properties calculated at the PBE level.

Results
Crystal system ... tetragonal
Total energy ... -2.457 eV per atom
Polymorph energy (0 for the lowest one) ... 4.4 kJ/mol of formula units
M_tot ... 0.0 μB per formula unit

a b c (Å): 6.688 6.688 6.057
angles (deg): 56.49 56.49 90.00
Element x y z (fractional)
Na: 0.530 0.125 0.250
Na: 0.220 0.625 0.250
Na: 0.375 0.470 0.750
Na: 0.875 0.780 0.750
Au: 0.000 0.000 0.000
Au: 0.750 0.250 0.500
H: 0.500 0.500 0.000
H: 0.250 0.750 0.500

---

Below is a geometry-optimized Na2HAu structure, with properties calculated at the PBE level.

Results
Crystal system ... cubic
Total energy ... -2.310 eV per atom
Polymorph energy (0 for the lowest one) ... 61.4 kJ/mol of formula units
M_tot ... 0.0 μB per formula unit

a b c (Å): 4.862 4.862 4.862
angles (deg): 60.00 60.00 60.00
Element x y z (fractional)
Na: 0.250 0.250 0.250
Na: 0.750 0.750 0.750
Au: 0.500 0.500 0.500
H: 0.000 0.000 0.000

---

Below is a geometry-optimized NaH3Au structure, with properties calculated at the PBE level.

Results
Crystal system ... monoclinic
Total energy ... -2.983 eV per atom
Polymorph energy (0 for the lowest one) ... 41.5 kJ/mol of formula units
M_tot ... 0.0 μB per formula unit

a b c (Å): 16.798 5.538 7.034
angles (deg): 90.00 157.79 90.00
Element x y z (fractional)
Na: 0.950 0.314 0.214
Na: 0.050 0.686 0.786
Na: 0.550 0.814 0.286
Na: 0.450 0.186 0.714
Au: 0.552 0.682 0.758
Au: 0.448 0.318 0.242
Au: 0.948 0.182 0.742
Au: 0.052 0.818 0.258
H: 0.272 0.085 0.870
H: 0.728 0.915 0.130
H: 0.228 0.585 0.630
H: 0.772 0.415 0.370
H: 0.361 0.439 0.271
H: 0.639 0.561 0.729
H: 0.139 0.939 0.229
H: 0.861 0.061 0.771
H: 0.418 0.746 0.663
H: 0.582 0.254 0.337
H: 0.082 0.246 0.837
H: 0.918 0.754 0.163

---

Below is a geometry-optimized Na2H3Au2 structure, with properties calculated at the PBE level.

Results
Crystal system ... cubic
Total energy ... -2.826 eV per atom
M_tot ... 0.0 μB per formula unit

a b c (Å): 6.174 6.174 6.174
angles (deg): 109.47 109.47 109.47
Element x y z (fractional)
Na: 0.000 0.000 0.483
Na: 0.500 0.483 0.500
Na: 0.517 0.017 0.017
Na: 0.983 0.500 0.000
H: 0.721 0.750 0.971
H: 0.779 0.250 0.529
H: 0.029 0.279 0.250
H: 0.471 0.221 0.750
H: 0.250 0.971 0.221
H: 0.750 0.529 0.279
Au: 0.000 0.000 0.974
Au: 0.500 0.974 0.500
Au: 0.026 0.526 0.526
Au: 0.474 0.500 0.000

---

Below is a geometry-optimized NaHAu3 structure, with properties calculated at the PBE level.

Results
Crystal system ... cubic
Total energy ... -1.611 eV per atom
Polymorph energy (0 for the lowest one) ... 596.7 kJ/mol of formula units
M_tot ... 0.9 μB per formula unit

a b c (Å): 5.148 5.148 5.148
angles (deg): 90.00 90.00 90.00
Element x y z (fractional)
Na: 0.000 0.000 0.000
Au: 0.000 0.500 0.000
Au: 0.000 0.000 0.500
Au: 0.500 0.000 0.000
H: 0.500 0.500 0.500

---

Below is a geometry-optimized NaHPb2Au structure, with properties calculated at the PBE level.

Results
Crystal system ... tetragonal
Total energy ... -3.029 eV per atom
M_tot ... 0.0 μB per formula unit

a b c (Å): 5.437 5.437 3.722
angles (deg): 90.00 90.00 90.00
Element x y z (fractional)
Pb: 0.000 0.500 0.000
Pb: 0.500 0.000 0.000
Na: 0.500 0.500 0.500
Au: 0.000 0.000 0.500
H: 0.000 0.000 0.000

---

Below is a geometry-optimized Na2HPbAu structure, with properties calculated at the PBE level.

Results
Crystal system ... tetragonal
Total energy ... -2.700 eV per atom
Polymorph energy (0 for the lowest one) ... 0.0 kJ/mol of formula units
M_tot ... 0.0 μB per formula unit

a b c (Å): 5.179 5.179 3.734
angles (deg): 90.00 90.00 90.00
Element x y z (fractional)
Pb: 0.500 0.500 0.500
Na: 0.000 0.500 0.000
Na: 0.500 0.000 0.000
Au: 0.000 0.000 0.500
H: 0.000 0.000 0.000

---

Below is a geometry-optimized Na2HPbAu structure, with properties calculated at the PBE level.

Results
Crystal system ... tetragonal
Total energy ... -2.669 eV per atom
Polymorph energy (0 for the lowest one) ... 14.8 kJ/mol of formula units
M_tot ... 0.0 μB per formula unit

a b c (Å): 4.566 4.566 4.797
angles (deg): 90.00 90.00 90.00
Element x y z (fractional)
Pb: 0.000 0.000 0.500
Na: 0.000 0.500 0.000
Na: 0.500 0.000 0.000
Au: 0.500 0.500 0.500
H: 0.000 0.000 0.000

---

Below is a geometry-optimized NaHPdAu2 structure, with properties calculated at the PBE level.

Results
Crystal system ... tetragonal
Total energy ... -3.374 eV per atom
M_tot ... 0.0 μB per formula unit

a b c (Å): 4.414 4.414 3.801
angles (deg): 90.00 90.00 90.00
Element x y z (fractional)
Na: 0.500 0.500 0.500
Au: 0.000 0.500 0.000
Au: 0.500 0.000 0.000
Pd: 0.000 0.000 0.500
H: 0.000 0.000 0.000

---

Below is a geometry-optimized NaHPdAu structure, with properties calculated at the PBE level.

Results
Crystal system ... orthorhombic
Total energy ... -3.465 eV per atom
M_tot ... 0.0 μB per formula unit

a b c (Å): 2.873 4.403 5.344
angles (deg): 114.33 90.00 90.00
Element x y z (fractional)
Na: 0.500 0.257 0.514
H: 0.000 0.663 0.325
Pd: 0.500 0.558 0.115
Au: 0.000 0.953 0.906

---

Below is a geometry-optimized NaHPd2Au structure, with properties calculated at the PBE level.

Results
Crystal system ... tetragonal
Total energy ... -3.847 eV per atom
Polymorph energy (0 for the lowest one) ... 0.0 kJ/mol of formula units
M_tot ... 0.0 μB per formula unit

a b c (Å): 4.005 4.005 4.337
angles (deg): 90.00 90.00 90.00
Element x y z (fractional)
Na: 0.000 0.000 0.500
Au: 0.500 0.500 0.500
Pd: 0.000 0.500 0.000
Pd: 0.500 0.000 0.000
H: 0.000 0.000 0.000

---

Below is a geometry-optimized NaHPd2Au structure, with properties calculated at the PBE level.

Results
Crystal system ... tetragonal
Total energy ... -3.793 eV per atom
Polymorph energy (0 for the lowest one) ... 26.1 kJ/mol of formula units
M_tot ... 0.0 μB per formula unit

a b c (Å): 4.099 4.099 4.187
angles (deg): 90.00 90.00 90.00
Element x y z (fractional)
Na: 0.500 0.500 0.500
Au: 0.000 0.000 0.500
Pd: 0.000 0.500 0.000
Pd: 0.500 0.000 0.000
H: 0.000 0.000 0.000

---

Below is a geometry-optimized Na2H6PtAu structure, with properties calculated at the PBE level.

Results
Crystal system ... monoclinic
Total energy ... -3.468 eV per atom
M_tot ... 0.0 μB per formula unit

a b c (Å): 5.175 5.175 5.327
angles (deg): 118.92 118.92 90.11
Element x y z (fractional)
Na: 0.750 0.250 0.500
Na: 0.250 0.750 0.500
H: 0.763 0.764 0.002
H: 0.781 0.782 0.561
H: 0.237 0.237 0.998
H: 0.763 0.238 0.000
H: 0.219 0.219 0.439
H: 0.237 0.763 0.000
Pt: 0.000 0.000 0.000
Au: 0.500 0.500 0.000

---

Below is a geometry-optimized NaHPt2Au structure, with properties calculated at the PBE level.

Results
Crystal system ... tetragonal
Total energy ... -4.044 eV per atom
Polymorph energy (0 for the lowest one) ... 45.3 kJ/mol of formula units
M_tot ... 0.0 μB per formula unit

a b c (Å): 4.009 4.009 4.382
angles (deg): 90.00 90.00 90.00
Element x y z (fractional)
Na: 0.500 0.500 0.500
Au: 0.000 0.000 0.500
Pt: 0.000 0.500 0.000
Pt: 0.500 0.000 0.000
H: 0.000 0.000 0.000

---

Below is a geometry-optimized NaHPt2Au structure, with properties calculated at the PBE level.

Results
Crystal system ... tetragonal
Total energy ... -4.138 eV per atom
Polymorph energy (0 for the lowest one) ... 0.0 kJ/mol of formula units
M_tot ... 0.0 μB per formula unit

a b c (Å): 3.975 3.975 4.392
angles (deg): 90.00 90.00 90.00
Element x y z (fractional)
Na: 0.000 0.000 0.500
Au: 0.500 0.500 0.500
Pt: 0.000 0.500 0.000
Pt: 0.500 0.000 0.000
H: 0.000 0.000 0.000

---

Below is a geometry-optimized NaHPtAu2 structure, with properties calculated at the PBE level.

Results
Crystal system ... tetragonal
Total energy ... -3.523 eV per atom
M_tot ... 0.0 μB per formula unit

a b c (Å): 4.515 4.515 3.653
angles (deg): 90.00 90.00 90.00
Element x y z (fractional)
Na: 0.500 0.500 0.500
Au: 0.000 0.500 0.000
Au: 0.500 0.000 0.000
Pt: 0.000 0.000 0.500
H: 0.000 0.000 0.000

---

Below is a geometry-optimized Rb2NaHAu structure, with properties calculated at the PBE level.

Results
Crystal system ... tetragonal
Total energy ... -1.999 eV per atom
Polymorph energy (0 for the lowest one) ... 36.8 kJ/mol of formula units
M_tot ... 0.0 μB per formula unit

a b c (Å): 6.633 6.633 3.837
angles (deg): 90.00 90.00 90.00
Element x y z (fractional)
Na: 0.500 0.500 0.500
Au: 0.000 0.000 0.500
Rb: 0.000 0.500 0.000
Rb: 0.500 0.000 0.000
H: 0.000 0.000 0.000

---

Below is a geometry-optimized RbNaH6Au2 structure, with properties calculated at the PBE level.

Results
Crystal system ... monoclinic
Total energy ... -2.988 eV per atom
M_tot ... 0.0 μB per formula unit

a b c (Å): 7.008 7.008 6.106
angles (deg): 98.23 98.23 86.17
Element x y z (fractional)
Rb: 0.125 0.875 0.250
Rb: 0.875 0.125 0.750
Na: 0.584 0.416 0.250
Na: 0.416 0.584 0.750
H: 0.923 0.261 0.287
H: 0.739 0.077 0.213
H: 0.077 0.739 0.713
H: 0.261 0.923 0.787
H: 0.221 0.263 0.141
H: 0.737 0.779 0.359
H: 0.779 0.737 0.859
H: 0.263 0.221 0.641
H: 0.294 0.543 0.400
H: 0.457 0.706 0.100
H: 0.706 0.457 0.600
H: 0.543 0.294 0.900
Au: 0.394 0.111 0.848
Au: 0.889 0.606 0.652
Au: 0.606 0.889 0.152
Au: 0.111 0.394 0.348

---

Below is a geometry-optimized Rb6Na2HAu structure, with properties calculated at the PBE level.

Results
Crystal system ... monoclinic
Total energy ... -1.550 eV per atom
M_tot ... 0.0 μB per formula unit

a b c (Å): 9.223 9.223 9.231
angles (deg): 120.03 120.03 90.02
Element x y z (fractional)
Rb: 0.762 0.763 0.000
Rb: 0.762 0.762 0.524
Rb: 0.238 0.238 0.000
Rb: 0.762 0.238 0.000
Rb: 0.238 0.238 0.475
Rb: 0.238 0.762 0.000
Na: 0.751 0.250 0.501
Na: 0.250 0.751 0.501
H: 0.000 0.000 0.000
Au: 0.500 0.500 0.999

---

Below is a geometry-optimized RbNa2HAu structure, with properties calculated at the PBE level.

Results
Crystal system ... tetragonal
Total energy ... -1.913 eV per atom
Polymorph energy (0 for the lowest one) ... 114.4 kJ/mol of formula units
M_tot ... 0.0 μB per formula unit

a b c (Å): 5.921 4.055 5.921
angles (deg): 90.00 90.00 90.00
Element x y z (fractional)
Na: 0.000 0.000 0.500
Na: 0.500 0.000 0.000
Au: 0.000 0.000 0.000
Rb: 0.500 0.500 0.500
H: 0.000 0.500 0.000

---

Below is a geometry-optimized Rb2NaH6Au2 structure, with properties calculated at the PBE level.

Results
Crystal system ... monoclinic
Total energy ... -2.822 eV per atom
M_tot ... 0.0 μB per formula unit

a b c (Å): 5.775 6.688 7.008
angles (deg): 121.47 90.00 115.58
Element x y z (fractional)
Rb: 0.705 0.410 0.203
Rb: 0.295 0.590 0.797
Na: 0.500 0.000 0.500
H: 0.867 0.733 0.866
H: 0.289 0.003 0.239
H: 0.286 0.997 0.761
H: 0.711 0.997 0.761
H: 0.714 0.003 0.239
H: 0.133 0.267 0.134
Au: 0.998 0.996 0.782
Au: 0.002 0.004 0.218

---

Below is a geometry-optimized Rb2NaHAu structure, with properties calculated at the PBE level.

Results
Crystal system ... tetragonal
Total energy ... -2.075 eV per atom
Polymorph energy (0 for the lowest one) ... 0.0 kJ/mol of formula units
M_tot ... 0.3 μB per formula unit

a b c (Å): 5.776 5.776 4.760
angles (deg): 90.00 90.00 90.00
Element x y z (fractional)
Na: 0.000 0.000 0.500
Au: 0.500 0.500 0.500
Rb: 0.000 0.500 0.000
Rb: 0.500 0.000 0.000
H: 0.000 0.000 0.000